Al3Cr: relaxed, GGA-PBE. Values from VASP.

SG   I4/mmm, No. 139
Raw total energy   -5.36 eV per atom
DOS(E_F)   2.34 states/eV/f.u.
ΔE_f   -147 meV/atom

Geometry as Quantum ESPRESSO input:
```
&SYSTEM
  ibrav = 0, nat = 4, ntyp = 2
/
ATOMIC_SPECIES
Al 26.98 Al.upf
Cr 52.00 Cr.upf
CELL_PARAMETERS angstrom
-1.8857 1.8857 4.0340
1.8857 -1.8857 4.0340
1.8857 1.8857 -4.0340
ATOMIC_POSITIONS crystal
Al 0.0000 0.0000 0.0000
Al 0.2500 0.7500 0.5000
Al 0.7500 0.2500 0.5000
Cr 0.5000 0.5000 0.0000
```

---

Rb2NpF7: relaxed, GGA-PBE. Values from VASP.

SG   C2/c, No. 15
Formation energy from raw total energies   -31.392 eV/f.u.
Raw total energy   -5.94 eV per atom
Distance to the lowest polymorph of the same formula   0.000 eV/atom
DOS(E_F)   6.88 states/eV/f.u.

Geometry as Quantum ESPRESSO input:
```
&SYSTEM
  ibrav = 0, nat = 20, ntyp = 3
/
ATOMIC_SPECIES
Rb 85.47 Rb.upf
Np 237.00 Np.upf
F 19.00 F.upf
CELL_PARAMETERS angstrom
7.0933 -3.5315 0.0000
7.0933 3.5315 0.0000
-4.8042 0.0000 6.9033
ATOMIC_POSITIONS crystal
Rb 0.1598 0.1845 0.1106
Rb 0.1845 0.1598 0.6106
Rb 0.8155 0.8402 0.3894
Rb 0.8402 0.8155 0.8894
Np 0.4622 0.5378 0.7500
Np 0.5378 0.4622 0.2500
F 0.1485 0.8515 0.7500
F 0.1897 0.5913 0.2060
F 0.2119 0.4510 0.5115
F 0.2967 0.5552 0.9077
F 0.4087 0.8103 0.2940
F 0.4448 0.7033 0.5923
F 0.4510 0.2119 0.0115
F 0.5490 0.7881 0.9885
F 0.5552 0.2967 0.4077
F 0.5913 0.1897 0.7060
F 0.7033 0.4448 0.0923
F 0.7881 0.5490 0.4885
F 0.8103 0.4087 0.7940
F 0.8515 0.1485 0.2500
```

---

FeCo4Cl: relaxed, GGA-PBE. Values from VASP.

SG   F-43m, No. 216
Formation energy from raw total energies   3.748 eV/f.u.
Raw total energy   -5.83 eV per atom
DOS(E_F)   8.65 states/eV/f.u.

Geometry as Quantum ESPRESSO input:
```
&SYSTEM
  ibrav = 0, nat = 6, ntyp = 3
/
ATOMIC_SPECIES
Fe 55.84 Fe.upf
Co 58.93 Co.upf
Cl 35.45 Cl.upf
CELL_PARAMETERS angstrom
0.0000 3.3999 3.3999
3.3999 0.0000 3.3999
3.3999 3.3999 0.0000
ATOMIC_POSITIONS crystal
Fe 0.0000 0.0000 0.0000
Co 0.3740 0.3740 0.3740
Co 0.3740 0.3740 0.8780
Co 0.3740 0.8780 0.3740
Co 0.8780 0.3740 0.3740
Cl 0.7500 0.7500 0.7500
```

---

Cu2TeCl: relaxed, GGA-PBE. Values from VASP.

SG   I-42d, No. 122
Formation energy from raw total energies   -0.681 eV/f.u.
Raw total energy   -3.47 eV per atom
Distance to the lowest polymorph of the same formula   0.056 eV/atom
DOS(E_F)   4.04 states/eV/f.u.

Geometry as Quantum ESPRESSO input:
```
&SYSTEM
  ibrav = 0, nat = 8, ntyp = 3
/
ATOMIC_SPECIES
Cu 63.55 Cu.upf
Te 127.60 Te.upf
Cl 35.45 Cl.upf
CELL_PARAMETERS angstrom
-2.8550 2.8550 5.7201
2.8550 -2.8550 5.7201
2.8550 2.8550 -5.7201
ATOMIC_POSITIONS crystal
Cu 0.1107 0.6250 0.9857
Cu 0.3750 0.3607 0.4857
Cu 0.6393 0.1250 0.0143
Cu 0.8750 0.8893 0.5143
Te 0.2500 0.7500 0.5000
Te 0.5000 0.5000 0.0000
Cl 0.0000 0.0000 0.0000
Cl 0.7500 0.2500 0.5000
```

---

Question: Among the records above, which one has the lowest DOS(E_F)?
Answer: Al3Cr